Record 1
Density functional theory data (PBEsol) for a relaxed structure of NaLa3Ir.

Computed properties:
total moment	0.0	μB/f.u.
Fermi-level density of states	4.7	states/eV/f.u.
ΔE_f	-0.2590	eV per atom
SG	No. 11

Geometry as POSCAR:
```
NaLa3Ir
1.0
4.146 0.000 0.000
0.000 9.579 -0.026
0.000 -4.572 8.480
La Na Ir
6 2 2
Direct
0.750 0.877 0.812
0.250 0.580 0.385
0.750 0.420 0.615
0.250 0.123 0.188
0.250 0.657 0.002
0.750 0.343 0.998
0.250 0.096 0.651
0.750 0.904 0.349
0.250 0.656 0.714
0.750 0.344 0.286
```

=====

Record 2
Density functional theory data (PBEsol) for a relaxed structure of TiZnS2.

Computed properties:
E above lowest polymorph	248	meV/atom
total moment	1.1	μB/f.u.
Fermi-level density of states	4.0	states/eV/f.u.
ΔE_f (raw)	-193	kJ/mol of formula units
SG	No. 225

Geometry as POSCAR:
```
TiZnS2
1.0
-2.800 -2.280 -2.458
-3.526 -1.821 1.825
-3.973 1.606 -0.846
S Zn Ti
2 1 1
Direct
0.750 0.750 0.750
0.250 0.250 0.250
0.500 0.500 0.500
0.000 0.000 0.000
```

=====

Record 3
Density functional theory data (PBEsol) for a relaxed structure of Mg5Ag.

Computed properties:
total moment	0.0	μB/f.u.
Fermi-level density of states	2.6	states/eV/f.u.
ΔE_f	-0.0519	eV per atom
SG	No. 65

Geometry as POSCAR:
```
Mg5Ag
1.0
-1.544 0.908 3.852
-3.580 -2.485 -0.850
3.828 -5.696 0.534
Mg Ag
5 1
Direct
0.342 0.000 0.684
0.163 0.500 0.326
0.500 0.500 0.000
0.837 0.500 0.674
0.658 0.000 0.316
0.000 0.000 0.000
```

=====

Record 4
Density functional theory data (PBEsol) for a relaxed structure of LiVF4.

Computed properties:
E above lowest polymorph	0	meV/atom
total moment	2.0	μB/f.u.
Fermi-level density of states	4.0	states/eV/f.u.
ΔE_f (raw)	-1679	kJ/mol of formula units
SG	No. 15

Geometry as POSCAR:
```
LiVF4
1.0
5.093 0.079 -0.010
-0.084 5.373 -0.054
-2.534 -0.187 5.860
Li F V
2 8 2
Direct
0.000 0.750 0.500
0.000 0.250 0.500
0.236 0.507 0.685
0.767 0.701 0.932
0.949 0.007 0.685
0.665 0.201 0.933
0.764 0.493 0.315
0.335 0.799 0.067
0.051 0.993 0.315
0.233 0.299 0.068
0.500 0.500 0.000
0.000 0.000 0.000
```

=====

Record 5
Density functional theory data (PBEsol) for a relaxed structure of Ca2TlTc.

Computed properties:
E above lowest polymorph	54	meV/atom
total moment	1.5	μB/f.u.
Fermi-level density of states	4.9	states/eV/f.u.
ΔE_f	0.4155	eV per atom
SG	No. 123

Geometry as POSCAR:
```
Ca2TlTc
1.0
-3.424 -0.206 -0.365
-0.295 -2.838 4.369
-0.561 4.368 2.800
Tc Ca Tl
1 2 1
Direct
0.500 0.500 0.500
0.000 0.000 0.500
0.000 0.500 0.000
0.500 0.000 0.000
```

=====

Record 6
Density functional theory data (PBEsol) for a relaxed structure of KLi3H.

Computed properties:
raw total energy	-9.4	eV for the cell shown
total moment	0.0	μB/f.u.
Fermi-level density of states	3.1	states/eV/f.u.
SG	No. 221

Geometry as POSCAR:
```
KLi3H
1.0
-0.567 -1.291 4.651
3.713 -3.108 -0.410
3.083 3.506 1.349
H K Li
1 1 3
Direct
0.000 0.000 0.000
0.500 0.500 0.500
0.500 0.000 0.000
0.000 0.500 0.000
0.000 0.000 0.500
```

=====

Record 7
Density functional theory data (PBEsol) for a relaxed structure of CaBTe2.

Computed properties:
total moment	0.0	μB/f.u.
Fermi-level density of states	3.7	states/eV/f.u.
ΔE_f (raw)	155	kJ/mol of formula units
SG	No. 166

Geometry as POSCAR:
```
CaBTe2
1.0
3.611 0.000 0.000
1.806 3.127 0.000
1.806 1.042 8.987
Te B Ca
2 1 1
Direct
0.886 0.886 0.342
0.114 0.114 0.658
0.500 0.500 0.500
0.000 0.000 0.000
```

=====

Record 8
Density functional theory data (PBEsol) for a relaxed structure of BaWF2.

Computed properties:
total moment	0.0	μB/f.u.
Fermi-level density of states	2.9	states/eV/f.u.
ΔE_f (raw)	-272	kJ/mol of formula units
SG	No. 166

Geometry as POSCAR:
```
BaWF2
1.0
-1.958 -1.437 3.002
-0.735 -3.786 0.192
3.442 -2.457 3.553
F W Ba
2 1 1
Direct
0.203 0.203 0.392
0.797 0.797 0.608
0.500 0.500 0.500
0.000 0.000 0.000
```

=====

Which of these has the lowest Fermi-level density of states?
Mg5Ag